Record 1
MnCI3: optimized geometry, PBE.

Output
The total energy comes out at -3.372 eV/atom. For the offset from the most stable computed form, the calculation gives 0.000 eV per atom. As for the volume: 132 Å³ per cell. For the formation energy without anion corrections, the calculation gives 1237 meV/atom.

Unit cell a=5.0920 b=5.0920 c=5.0920 alpha=90.00 beta=90.00 gamma=90.00
Fractional coordinates of all 5 atoms:
I1 0.0000 0.0000 0.5000
I2 0.5000 0.0000 0.0000
I3 0.0000 0.5000 0.0000
Mn1 0.5000 0.5000 0.5000
C1 0.0000 0.0000 0.0000



Record 2
Mn3CI: optimized geometry, PBE.

Output
The total energy comes out at -4.434 eV/atom. For the offset from the most stable computed form, the calculation gives 2.671 eV per atom. As for the volume: 97 Å³ per cell. For the formation energy without anion corrections, the calculation gives 3222 meV/atom.

Unit cell a=4.5921 b=4.5921 c=4.5921 alpha=90.00 beta=90.00 gamma=90.00
Fractional coordinates of all 5 atoms:
Mn1 0.5000 0.0000 0.0000
Mn2 0.0000 0.0000 0.5000
I1 0.0000 0.0000 0.0000
C1 0.5000 0.5000 0.5000
Mn3 0.0000 0.5000 0.0000



Record 3
MnCI3: optimized geometry, PBE.

Output
The total energy comes out at -3.238 eV/atom. For the offset from the most stable computed form, the calculation gives 0.134 eV per atom. As for the volume: 169 Å³ per cell. For the formation energy without anion corrections, the calculation gives 1371 meV/atom.

Unit cell a=5.5336 b=5.5336 c=5.5336 alpha=90.00 beta=90.00 gamma=90.00
Fractional coordinates of all 5 atoms:
Mn1 0.0000 0.0000 0.0000
I1 0.0000 0.0000 0.5000
I2 0.5000 0.0000 0.0000
C1 0.5000 0.5000 0.5000
I3 0.0000 0.5000 0.0000



Record 4
MnC2I: optimized geometry, PBE.

Output
The total energy comes out at -4.619 eV/atom. As for the volume: 44 Å³ per cell. For the formation energy without anion corrections, the calculation gives 2673 meV/atom.

Unit cell a=3.9765 b=3.9765 c=3.9765 alpha=60.00 beta=60.00 gamma=60.00
Fractional coordinates of all 4 atoms:
Mn1 0.0000 0.0000 0.0000
I1 0.5000 0.5000 0.5000
C1 0.2500 0.2500 0.2500
C2 0.7500 0.7500 0.7500



Record 5
MnCIN2: optimized geometry, PBE.

Output
The total energy comes out at -5.656 eV/atom. For the offset from the most stable computed form, the calculation gives 0.000 eV per atom. As for the volume: 73 Å³ per cell. For the formation energy without anion corrections, the calculation gives 1663 meV/atom.

Unit cell a=3.5513 b=3.5513 c=5.7641 alpha=90.00 beta=90.00 gamma=90.00
Fractional coordinates of all 5 atoms:
I1 0.0000 0.0000 0.5000
C1 0.5000 0.5000 0.5000
Mn1 0.0000 0.0000 0.0000
N1 0.5000 0.0000 0.0000
N2 0.0000 0.5000 0.0000



Record 6
MnCIN2: optimized geometry, PBE.

Output
The total energy comes out at -4.578 eV/atom. For the offset from the most stable computed form, the calculation gives 1.078 eV per atom. As for the volume: 58 Å³ per cell. For the formation energy without anion corrections, the calculation gives 2741 meV/atom.

Unit cell a=3.6667 b=3.6667 c=4.3122 alpha=90.00 beta=90.00 gamma=90.00
Fractional coordinates of all 5 atoms:
I1 0.0000 0.0000 0.5000
C1 0.0000 0.0000 0.0000
Mn1 0.5000 0.5000 0.5000
N1 0.5000 0.0000 0.0000
N2 0.0000 0.5000 0.0000



What is the formation energy without anion corrections in the fourth record? 2673 meV/atom